(i)
A geometry-optimized Ac8Pr2Nd structure. Source: Alexandria via LeMat-Bulk, functional GGA-PBE.

a = 13.3445 Å, b = 12.7043 Å, c = 6.3076 Å
α = 90.00°, β = 104.06°, γ = 90.00°
Closest atoms and distances in Å follow each position.
Space group C2/m (No. 12)
Inequivalent atoms, fractional coordinates:
Ac  0.0826  0.0000  0.2929 x4  6 Ac 3.61-4.03, 1 Pr 3.71
Ac  0.1017  0.2560  0.7999 x8  1 Pr 3.64, 3 Ac 3.67-4.04, 1 Nd 3.73
Ac  0.2323  0.0000  0.8861 x4  1 Nd 3.47, 2 Pr 3.48-3.75, 4 Ac 3.61-3.79
Pr  0.1318  0.5000  0.5195 x4  1 Nd 3.32, 1 Pr 3.47, 4 Ac 3.48-3.71
Nd  0.0000  0.5000  0.0000 x2  2 Pr 3.32, 2 Ac 3.47

Values from the calculation:
size of the total moment = 0.00 μB/f.u.
theoretical density = 7.18 g/cm³



(ii)
A geometry-optimized Ac8Pr2Nd structure. Source: Alexandria via LeMat-Bulk, functional GGA-PBE.

a = 18.3208 Å, b = 9.1070 Å, c = 6.0344 Å
α = 90.00°, β = 109.18°, γ = 90.00°
Closest atoms and distances in Å follow each position.
Space group C2/m (No. 12)
Inequivalent atoms, fractional coordinates:
Ac  0.0000  0.2051  0.0000 x4  7 Ac 3.74-3.88, 2 Pr 3.93, 2 Nd 4.04
Ac  0.1411  0.2082  0.6410 x8  1 Nd 3.61, 3 Pr 3.70-3.83, 6 Ac 3.79-4.04
Ac  0.1598  0.5000  0.1600 x4  8 Ac 3.85-4.04, 2 Pr 3.87-3.88, 2 Nd 4.09
Pr  0.1998  0.0000  0.1991 x4  10 Ac 3.70-3.93
Nd  0.0000  0.5000  0.5000 x2  8 Ac 3.61-4.04

Values from the calculation:
size of the total moment = 0.00 μB/f.u.
theoretical density = 7.83 g/cm³



Which structure wins on stability? (ii) wins.



(i)
A geometry-optimized Ac5Pr2Nd4 structure. Source: Alexandria via LeMat-Bulk, functional GGA-PBE.

a = 3.7724 Å, b = 9.9393 Å, c = 24.2533 Å
α = 90.00°, β = 90.00°, γ = 90.00°
Closest atoms and distances in Å follow each position.
Space group Immm (No. 71)
Inequivalent atoms, fractional coordinates:
Ac  0.0000  0.0000  0.0000 x2  4 Nd 3.59, 2 Ac 3.77
Ac  0.0000  0.2947  0.3522 x8  3 Pr 3.64-3.99, 3 Nd 3.73, 3 Ac 3.77-4.08
Pr  0.0000  0.5000  0.2277 x4  1 Nd 3.28, 2 Ac 3.64
Nd  0.0000  0.1925  0.5000 x4  7 Nd 3.50-3.83, 4 Ac 3.59-3.73
Nd  0.0000  0.5000  0.0925 x4  1 Pr 3.28, 4 Nd 3.50

Values from the calculation:
size of the total moment = 0.00 μB/f.u.
theoretical density = 7.28 g/cm³



(ii)
A geometry-optimized Ac5Pr2Nd4 structure. Source: Alexandria via LeMat-Bulk, functional GGA-PBE.

a = 9.4016 Å, b = 3.7332 Å, c = 12.6940 Å
α = 90.00°, β = 92.13°, γ = 90.00°
Closest atoms and distances in Å follow each position.
Space group P2/m (No. 10)
Inequivalent atoms, fractional coordinates:
Ac  0.0000  0.0000  0.0000 x1  2 Pr 3.59, 4 Ac 3.59-3.73, 4 Nd 3.92
Ac  0.1981  0.0000  0.5253 x2  4 Ac 3.71-3.76, 6 Nd 3.84-3.93
Ac  0.2784  0.0000  0.8138 x2  2 Pr 3.54-3.90, 4 Ac 3.59-3.73, 4 Nd 3.80-3.93
Pr  0.3527  0.0000  0.1179 x2  3 Ac 3.54-3.90, 4 Nd 3.68-3.77, 2 Pr 3.73
Nd  0.0760  0.5000  0.2679 x2  3 Nd 3.73-3.78, 2 Pr 3.77, 6 Ac 3.90-3.93
Nd  0.4639  0.5000  0.3566 x2  2 Pr 3.68, 4 Nd 3.68-3.78, 6 Ac 3.80-3.93

Values from the calculation:
size of the total moment = 0.00 μB/f.u.
theoretical density = 7.44 g/cm³



Which structure wins on stability? (ii) wins.



(i)
A geometry-optimized AcPr6Nd12 structure. Source: Alexandria via LeMat-Bulk, functional GGA-PBE.

a = 12.4385 Å, b = 12.4385 Å, c = 15.5653 Å
α = 90.00°, β = 90.00°, γ = 120.00°
Closest atoms and distances in Å follow each position.
Space group R-3 (No. 148, hexagonal axes)
Inequivalent atoms, fractional coordinates:
Ac  0.0000  0.0000  0.0000 x3  6 Pr 3.66, 6 Nd 3.68
Pr  0.0088  0.4204  0.6832 x18  7 Nd 3.44-3.78, 1 Ac 3.66, 2 Pr 3.68
Nd  0.0066  0.8309  0.1922 x18  4 Nd 3.53-3.72, 4 Pr 3.60-3.78, 1 Ac 3.68
Nd  0.0453  0.8508  0.4175 x18  4 Nd 3.38-3.71, 3 Pr 3.44-3.54

Values from the calculation:
size of the total moment = 0.00 μB/f.u.
theoretical density = 6.70 g/cm³



(ii)
A geometry-optimized AcPr6Nd12 structure. Source: Alexandria via LeMat-Bulk, functional GGA-PBE.

a = 13.8210 Å, b = 13.8210 Å, c = 12.7903 Å
α = 90.00°, β = 90.00°, γ = 120.00°
Closest atoms and distances in Å follow each position.
Space group R-3m (No. 166, hexagonal axes)
Inequivalent atoms, fractional coordinates:
Ac  0.0000  0.0000  0.0000 x3  6 Pr 3.59, 6 Nd 4.02
Pr  0.0379  0.5190  0.6178 x18  1 Pr 3.15
Nd  0.0000  0.2587  0.5000 x18  6 Nd 3.47-3.63, 4 Pr 3.55-3.69
Nd  0.0911  0.1822  0.2636 x18  6 Nd 3.47-3.78, 2 Pr 3.86

Values from the calculation:
size of the total moment = 0.00 μB/f.u.
theoretical density = 6.60 g/cm³



Which structure wins on stability? (i) wins.



(i)
A geometry-optimized AcPr4Nd6 structure. Source: Alexandria via LeMat-Bulk, functional GGA-PBE.

a = 6.7944 Å, b = 6.7944 Å, c = 17.8745 Å
α = 90.00°, β = 90.00°, γ = 90.00°
Closest atoms and distances in Å follow each position.
Space group I-42m (No. 121)
Inequivalent atoms, fractional coordinates:
Ac  0.0000  0.0000  0.0000 x2  4 Nd 3.40, 4 Pr 3.73
Pr  0.1915  0.1915  0.8183 x8  5 Nd 3.43-3.72, 1 Pr 3.68, 1 Ac 3.73
Nd  0.0000  0.5000  0.0000 x4  4 Nd 3.37, 2 Ac 3.40
Nd  0.1792  0.1792  0.6266 x8  3 Nd 3.37-3.44, 5 Pr 3.43-3.72

Values from the calculation:
size of the total moment = 0.00 μB/f.u.
theoretical density = 6.67 g/cm³



(ii)
A geometry-optimized AcPr4Nd6 structure. Source: Alexandria via LeMat-Bulk, functional GGA-PBE.

a = 8.0192 Å, b = 8.0192 Å, c = 13.2909 Å
α = 90.00°, β = 90.00°, γ = 90.00°
Closest atoms and distances in Å follow each position.
Space group I-42m (No. 121)
Inequivalent atoms, fractional coordinates:
Ac  0.0000  0.0000  0.0000 x2  8 Nd 3.83-4.01, 4 Pr 3.88
Pr  0.1698  0.1698  0.4244 x8  3 Nd 3.14-3.23, 2 Pr 3.38
Nd  0.0000  0.5000  0.0000 x4  4 Pr 3.14
Nd  0.2483  0.2483  0.6917 x8  1 Pr 3.23

Values from the calculation:
size of the total moment = 0.00 μB/f.u.
theoretical density = 6.43 g/cm³



Which structure wins on stability? (i) wins.



(i)
A geometry-optimized Ac4Pr2Nd structure. Source: Alexandria via LeMat-Bulk, functional GGA-PBE.

a = 7.3511 Å, b = 12.4432 Å, c = 12.8684 Å
α = 90.00°, β = 90.00°, γ = 90.00°
Closest atoms and distances in Å follow each position.
Space group Imma (No. 74)
Inequivalent atoms, fractional coordinates:
Ac  0.0000  0.0070  0.1522 x8  1 Pr 3.57, 2 Nd 3.76, 1 Ac 3.92
Ac  0.2317  0.2500  0.9886 x8  1 Nd 3.37, 3 Pr 3.38-3.69, 1 Ac 3.41
Pr  0.0000  0.0000  0.5000 x4  4 Ac 3.69
Pr  0.0000  0.2500  0.7248 x4  4 Ac 3.38-3.57, 2 Pr 3.73
Nd  0.2500  0.2500  0.2500 x4  6 Ac 3.37-3.76, 2 Nd 3.68

Values from the calculation:
size of the total moment = 0.00 μB/f.u.
theoretical density = 7.53 g/cm³



(ii)
A geometry-optimized Ac4Pr2Nd structure. Source: Alexandria via LeMat-Bulk, functional GGA-PBE.

a = 10.2373 Å, b = 6.3978 Å, c = 9.8285 Å
α = 90.00°, β = 117.30°, γ = 90.00°
Closest atoms and distances in Å follow each position.
Space group C2/m (No. 12)
Inequivalent atoms, fractional coordinates:
Ac  0.1390  0.0000  0.4160 x4  1 Nd 3.66, 4 Pr 3.71-3.98, 5 Ac 3.83-3.95
Ac  0.2125  0.5000  0.1372 x4  3 Nd 3.75-3.76, 4 Pr 3.76-3.81, 3 Ac 3.93-3.95
Pr  0.0657  0.5000  0.7094 x4  1 Pr 3.70, 8 Ac 3.71-3.98, 1 Nd 4.03
Nd  0.0000  0.0000  0.0000 x2  8 Ac 3.66-3.76, 2 Pr 4.03

Values from the calculation:
size of the total moment = 0.00 μB/f.u.
theoretical density = 7.75 g/cm³



Which structure wins on stability? (ii) wins.



(i)
A geometry-optimized Ac12PrNd7 structure. Source: Alexandria via LeMat-Bulk, functional GGA-PBE.

a = 12.2575 Å, b = 12.2575 Å, c = 12.2575 Å
α = 90.00°, β = 90.00°, γ = 90.00°
Closest atoms and distances in Å follow each position.
Space group Im-3 (No. 204)
Inequivalent atoms, fractional coordinates:
Ac  0.0000  0.2901  0.2163 x24  2 Nd 3.13
Pr  0.0000  0.0000  0.0000 x2  12 Ac 4.44
Nd  0.0000  0.0000  0.5000 x6  4 Ac 3.69
Nd  0.2500  0.2500  0.2500 x8  6 Ac 3.13

Values from the calculation:
size of the total moment = 0.00 μB/f.u.
theoretical density = 6.99 g/cm³



(ii)
A geometry-optimized Ac12PrNd7 structure. Source: Alexandria via LeMat-Bulk, functional GGA-PBE.

a = 20.9159 Å, b = 20.9159 Å, c = 6.7039 Å
α = 90.00°, β = 90.00°, γ = 120.00°
Closest atoms and distances in Å follow each position.
Space group R-3 (No. 148, hexagonal axes)
Inequivalent atoms, fractional coordinates:
Ac  0.9998  0.4122  0.9996 x18  2 Nd 3.59, 3 Ac 3.63-3.67
Ac  0.1018  0.5505  0.4818 x18  4 Nd 3.52-3.82, 1 Ac 3.69
Pr  0.0000  0.0000  0.5000 x3  8 Nd 3.23-3.35
Nd  0.0000  0.0000  0.0000 x3  2 Pr 3.35, 6 Nd 3.60
Nd  0.0812  0.1631  0.3067 x18  1 Pr 3.23, 3 Ac 3.52-3.59, 1 Nd 3.60

Values from the calculation:
size of the total moment = 0.00 μB/f.u.
theoretical density = 7.60 g/cm³



Which structure wins on stability? (ii) wins.